(1)
# TbPm2PrMg

A geometry-optimized TbPm2PrMg structure (PBE, the Alexandria database).

abc: 5.7039 6.2380 9.5818
angles: 70.74 90.00 90.00
Last column: nearest neighbours and their distance in Å.
Sites, in units of the cell vectors:
Tb1 0.2500 0.8322 0.0028  4 Mg 3.46-3.64, 5 Pm 3.50-3.70, 1 Pr 3.50, 2 Tb 3.53
Tb2 0.7500 0.1678 0.9972  4 Mg 3.46-3.64, 5 Pm 3.50-3.70, 1 Pr 3.50, 2 Tb 3.53
Pm1 0.7500 0.7498 0.7985  3 Pm 3.50-3.68, 2 Pr 3.50-3.61, 4 Tb 3.50-3.70, 3 Mg 3.50-3.55
Pm2 0.2500 0.2502 0.2015  3 Pm 3.50-3.68, 2 Pr 3.50-3.61, 4 Tb 3.50-3.70, 3 Mg 3.50-3.55
Pm3 0.2500 0.0161 0.6082  5 Pm 3.50-3.68, 4 Pr 3.56-3.78, 1 Tb 3.57, 2 Mg 3.59-3.63
Pm4 0.7500 0.9839 0.3918  5 Pm 3.50-3.68, 4 Pr 3.56-3.78, 1 Tb 3.57, 2 Mg 3.59-3.63
Pr1 0.7500 0.3558 0.6100  6 Pm 3.50-3.78, 1 Tb 3.50, 3 Mg 3.52-3.79, 2 Pr 3.65
Pr2 0.2500 0.6442 0.3900  6 Pm 3.50-3.78, 1 Tb 3.50, 3 Mg 3.52-3.79, 2 Pr 3.65
Mg1 0.7500 0.5818 0.1907  4 Tb 3.46-3.64, 5 Pm 3.50-3.63, 3 Pr 3.52-3.79
Mg2 0.2500 0.4182 0.8093  4 Tb 3.46-3.64, 5 Pm 3.50-3.63, 3 Pr 3.52-3.79

total magnetization = 0.00 μB/f.u.
calculated volume = 32.2 Å³/atom
total DFT energy (no corrections) = -4.084 eV/atom
energy of formation from the pure elements = 0.1 eV per formula unit

---

(2)
# KCaSc

A geometry-optimized KCaSc structure (PBE, the Alexandria database).

abc: 3.7063 3.7063 9.9372
angles: 90.00 90.00 120.00
Last column: nearest neighbours and their distance in Å.
Sites, in units of the cell vectors:
Ca1 0.0000 0.0000 0.9648  3 Sc 3.48, 6 Ca 3.71
K1 0.6667 0.3333 0.3467  6 K 3.71, 3 Sc 4.01
Sc1 0.3333 0.6667 0.6885  3 Ca 3.48, 6 Sc 3.71

total magnetization = 1.33 μB/f.u.
calculated volume = 39.4 Å³/atom
total DFT energy (no corrections) = -2.755 eV/atom
energy of formation from the pure elements = 1.2 eV per formula unit

---

(3)
# LiCr2Ni

A geometry-optimized LiCr2Ni structure (PBE, the Alexandria database).

abc: 2.9529 2.9529 5.5860
angles: 90.00 90.00 90.00
Last column: nearest neighbours and their distance in Å.
Sites, in units of the cell vectors:
Cr1 0.0000 0.0000 0.0053  4 Cr 2.44, 4 Ni 2.54, 1 Li 2.73
Cr2 0.5000 0.5000 0.2327  4 Cr 2.44, 4 Li 2.62, 1 Ni 2.72
Li1 0.0000 0.0000 0.5159  4 Ni 2.45, 5 Cr 2.62-2.73
Ni1 0.5000 0.5000 0.7461  4 Li 2.45, 5 Cr 2.54-2.72

total magnetization = 0.38 μB/f.u.
calculated volume = 12.2 Å³/atom
total DFT energy (no corrections) = -6.493 eV/atom
energy of formation from the pure elements = 1.0 eV per formula unit

---

(4)
# AcBiH2

A geometry-optimized AcBiH2 structure (PBE, the Alexandria database).

abc: 3.3677 3.3677 7.1538
angles: 90.00 90.00 90.00
Last column: nearest neighbours and their distance in Å.
Sites, in units of the cell vectors:
H1 0.0000 0.0000 0.8573  1 H 2.04
H2 0.0000 0.0000 0.1427  1 H 2.04
Ac1 0.5000 0.5000 0.0000  8 H 2.59
Bi1 0.5000 0.5000 0.5000  4 Bi 3.37, 8 H 3.49, 2 Ac 3.58

total magnetization = 0.00 μB/f.u.
calculated volume = 20.3 Å³/atom
total DFT energy (no corrections) = -3.744 eV/atom

---

(5)
# SmSn3Rh3

A geometry-optimized SmSn3Rh3 structure (PBE, the Alexandria database).

abc: 7.1525 7.1525 7.1525
angles: 90.00 90.00 90.00
Last column: nearest neighbours and their distance in Å.
Sites, in units of the cell vectors:
Rh1 0.2500 0.0000 0.5000  4 Sn 2.53
Rh2 0.0000 0.5000 0.2500  4 Sn 2.53
Rh3 0.5000 0.7500 0.0000  4 Sn 2.53
Rh4 0.7500 0.0000 0.5000  4 Sn 2.53
Rh5 0.0000 0.5000 0.7500  4 Sn 2.53
Rh6 0.5000 0.2500 0.0000  4 Sn 2.53
Sn1 0.0000 0.2500 0.5000  4 Rh 2.53
Sn2 0.0000 0.7500 0.5000  4 Rh 2.53
Sn3 0.5000 0.0000 0.7500  4 Rh 2.53
Sn4 0.7500 0.5000 0.0000  4 Rh 2.53
Sn5 0.5000 0.0000 0.2500  4 Rh 2.53
Sn6 0.2500 0.5000 0.0000  4 Rh 2.53
Sm1 0.5000 0.5000 0.5000  12 Sn 4.00, 12 Rh 4.00
Sm2 0.0000 0.0000 0.0000  12 Sn 4.00, 12 Rh 4.00

total magnetization = 0.00 μB/f.u.
calculated volume = 26.1 Å³/atom
total DFT energy (no corrections) = -5.589 eV/atom
energy of formation from the pure elements = -0.3 eV per formula unit

---

(6)
# AcInSi2Pd5

A geometry-optimized AcInSi2Pd5 structure (PBE, the Alexandria database).

abc: 4.2218 4.2218 10.5397
angles: 90.00 90.00 90.00
Last column: nearest neighbours and their distance in Å.
Sites, in units of the cell vectors:
Ac1 0.0000 0.0000 0.5000  4 Pd 2.99
In1 0.0000 0.0000 0.0000  8 Pd 2.78
Si1 0.5000 0.5000 0.2765  5 Pd 2.36-2.39
Si2 0.5000 0.5000 0.7235  5 Pd 2.36-2.39
Pd1 0.0000 0.5000 0.1710  2 Si 2.39
Pd2 0.5000 0.0000 0.1710  2 Si 2.39
Pd3 0.0000 0.5000 0.8290  2 Si 2.39
Pd4 0.5000 0.0000 0.8290  2 Si 2.39
Pd5 0.5000 0.5000 0.5000  2 Si 2.36

total magnetization = 0.00 μB/f.u.
formation energy from raw total energies = -0.560 eV per atom
calculated volume = 20.9 Å³/atom
total DFT energy (no corrections) = -5.411 eV/atom

---

(7)
# PuZr2N

A geometry-optimized PuZr2N structure (PBE, the Alexandria database).

abc: 3.2537 3.2537 8.8856
angles: 79.45 79.45 60.00
Last column: nearest neighbours and their distance in Å.
Sites, in units of the cell vectors:
N1 0.5000 0.5000 0.5000  6 Zr 2.26
Zr1 0.1181 0.1181 0.6456  3 N 2.26
Zr2 0.8819 0.8819 0.3544  3 N 2.26
Pu1 0.0000 0.0000 0.0000  2 Zr 3.08, 6 Pu 3.25

total magnetization = 5.62 μB/f.u.
formation energy from raw total energies = -0.596 eV per atom
calculated volume = 19.9 Å³/atom
total DFT energy (no corrections) = -10.534 eV/atom

---

(8)
# FeCuTeAsOs

A geometry-optimized FeCuTeAsOs structure (PBE, the Alexandria database).

abc: 6.4445 3.1316 8.6264
angles: 90.00 106.44 90.00
Last column: nearest neighbours and their distance in Å.
Sites, in units of the cell vectors:
As1 0.2715 0.0000 0.5287  3 Fe 2.42-2.48, 1 Cu 2.52, 2 Os 2.52
As2 0.2715 0.5000 0.0287  3 Fe 2.42-2.48, 1 Cu 2.52, 2 Os 2.52
Te1 0.7450 0.0000 0.3316  3 Os 2.62-2.69, 1 Fe 2.69, 3 Cu 2.72-2.83
Te2 0.7450 0.5000 0.8316  3 Os 2.62-2.69, 1 Fe 2.69, 3 Cu 2.72-2.83
Os1 0.5735 0.0000 0.0170  2 As 2.52, 3 Te 2.62-2.69
Os2 0.5735 0.5000 0.5170  2 As 2.52, 3 Te 2.62-2.69
Fe1 0.3110 0.0000 0.2578  3 As 2.42-2.48, 2 Cu 2.68, 1 Te 2.69
Fe2 0.3110 0.5000 0.7578  3 As 2.42-2.48, 2 Cu 2.68, 1 Te 2.69
Cu1 0.9615 0.0000 0.6521  1 As 2.52, 2 Fe 2.68, 1 Te 2.72
Cu2 0.9615 0.5000 0.1521  1 As 2.52, 2 Fe 2.68, 1 Te 2.72

total magnetization = 1.72 μB/f.u.
formation energy from raw total energies = 0.314 eV per atom
calculated volume = 16.7 Å³/atom
total DFT energy (no corrections) = -6.002 eV/atom